Compound: Li6V3P8O29
Source: Alexandria via LeMat-Bulk
Functional: PBE with a Hubbard U
Structure: optimized geometry

Calculated values
- Space-group type: No. 1
- Excess energy over the best structure of this formula in the dataset: 0.0020 eV per atom
- VASP energy: -646.1 eV/cell
- Total magnetic moment: 6.0 μB/cell

abc: 9.7717 9.7995 14.0165
angles: 88.21 87.89 60.13
Fractional positions:
Li 0.0000 0.0000 0.0000
Li 0.9996 0.4590 0.5111
Li 0.0504 0.6607 0.0341
Li 0.1786 0.8867 0.6192
Li 0.2126 0.3164 0.1184
Li 0.3120 0.3737 0.6289
Li 0.4014 0.4402 0.0000
Li 0.4505 0.5644 0.5066
Li 0.7338 0.7843 0.6222
Li 0.7566 0.3684 0.1728
Li 0.7779 0.9142 0.1286
Li 0.8680 0.9748 0.5027
V 0.0833 0.1147 0.8101
V 0.0983 0.2391 0.3234
V 0.5228 0.2411 0.8135
V 0.5295 0.6804 0.2959
V 0.6459 0.6715 0.8359
V 0.6641 0.1073 0.3179
P 0.0083 0.0032 0.2208
P 0.1699 0.3583 0.9069
P 0.1869 0.8921 0.4022
P 0.2934 0.7494 0.9050
P 0.3262 0.3605 0.4074
P 0.4160 0.5894 0.7195
P 0.4194 0.4435 0.2182
P 0.4279 0.0242 0.1933
P 0.4322 0.0011 0.7054
P 0.7483 0.3503 0.4304
P 0.7538 0.3304 0.9381
P 0.7677 0.7583 0.4075
P 0.7691 0.9008 0.9105
P 0.8587 0.9892 0.7227
P 0.8894 0.5889 0.2232
P 0.9879 0.4615 0.7284
O 0.0058 0.0083 0.7178
O 0.0275 0.4182 0.2254
O 0.0796 0.4744 0.8191
O 0.0832 0.4516 0.6387
O 0.0830 0.9402 0.1263
O 0.0942 0.8891 0.4900
O 0.0997 0.4370 0.0005
O 0.1018 0.8850 0.3068
O 0.1713 0.2027 0.8930
O 0.1722 0.9264 0.9005
O 0.1781 0.3432 0.4139
O 0.1921 0.0471 0.3973
O 0.2448 0.6617 0.9760
O 0.2616 0.0217 0.7236
O 0.2849 0.6906 0.7993
O 0.2865 0.1605 0.2524
O 0.3102 0.4660 0.3137
O 0.3391 0.4238 0.1343
O 0.3410 0.3314 0.8975
O 0.3441 0.4343 0.4949
O 0.3511 0.6712 0.6255
O 0.3517 0.7454 0.3957
O 0.3944 0.0700 0.0908
O 0.4175 0.1635 0.7301
O 0.4295 0.4243 0.7229
O 0.4310 0.8666 0.2248
O 0.4408 0.5879 0.2097
O 0.4630 0.7169 0.9187
O 0.4757 0.1971 0.3879
O 0.4953 0.9490 0.6062
O 0.5426 0.8738 0.7787
O 0.5714 0.5794 0.7451
O 0.5843 0.2985 0.2369
O 0.5865 0.0062 0.2271
O 0.5963 0.3472 0.9032
O 0.6101 0.7732 0.3824
O 0.6160 0.0567 0.8976
O 0.6250 0.4828 0.3633
O 0.6934 0.3926 0.5316
O 0.7102 0.1526 0.7420
O 0.7320 0.5857 0.2176
O 0.7441 0.7587 0.9169
O 0.7592 0.9213 0.4041
O 0.7648 0.3134 0.0450
O 0.7661 0.4745 0.8983
O 0.7670 0.1871 0.4018
O 0.8250 0.6107 0.7325
O 0.8325 0.6764 0.5014
O 0.8413 0.0181 0.2292
O 0.8414 0.9158 0.6347
O 0.8653 0.8981 0.9944
O 0.8769 0.8790 0.8142
O 0.8953 0.6565 0.3258
O 0.8978 0.1785 0.8922
O 0.9096 0.6892 0.1473
O 0.9132 0.3403 0.4068
O 0.9758 0.3102 0.7418
O 0.9869 0.1678 0.2431